No. 1
This record from Alexandria via LeMat-Bulk describes a relaxed ZrTi6Pd12 crystal. The functional is PBE-GGA.

Cell and atoms, written as POSCAR:
```
ZrTi6Pd12
1.0
4.8603 2.8061 3.8540
-4.8603 2.8061 3.8540
0.0000 -5.6122 3.8540
Zr Ti Pd
1 6 12
direct
0.0000 0.0000 0.0000
0.1239 0.7062 0.2860
0.2860 0.1239 0.7062
0.2938 0.7140 0.8761
0.7062 0.2860 0.1239
0.7140 0.8761 0.2938
0.8761 0.2938 0.7140
0.0153 0.1485 0.3674
0.1485 0.3674 0.0153
0.1953 0.4707 0.5733
0.3674 0.0153 0.1485
0.4267 0.8047 0.5293
0.4707 0.5733 0.1953
0.5293 0.4267 0.8047
0.5733 0.1953 0.4707
0.6326 0.9847 0.8515
0.8047 0.5293 0.4267
0.8515 0.6326 0.9847
0.9847 0.8515 0.6326
```

Output
- Crystal system: trigonal
- DOS(E_F): 18.60 states/eV/cell
- Calculated total energy: -6.620 eV per atom
- Energy of formation: -38 kJ/mol of atoms

=====

No. 2
This record from Alexandria via LeMat-Bulk describes a relaxed ZrTi2Pd2 crystal. The functional is PBE-GGA.

Cell and atoms, written as POSCAR:
```
ZrTi2Pd2
1.0
7.6748 0.0000 0.0000
0.0000 7.6748 0.0000
0.0000 0.0000 2.9126
Zr Ti Pd
2 4 4
direct
0.0000 0.0000 0.0000
0.5000 0.5000 0.0000
0.1559 0.3441 0.0000
0.3441 0.8441 0.0000
0.6559 0.1559 0.0000
0.8441 0.6559 0.0000
0.1413 0.6413 0.5000
0.3587 0.1413 0.5000
0.6413 0.8587 0.5000
0.8587 0.3587 0.5000
```

Output
- E above lowest polymorph: 19.8 meV/atom
- Crystal system: tetragonal
- DOS(E_F): 7.95 states/eV/cell
- Calculated total energy: -7.336 eV per atom
- Energy of formation: -38 kJ/mol of atoms

=====

No. 3
This record from Alexandria via LeMat-Bulk describes a relaxed ZrTi3Pd6 crystal. The functional is PBE-GGA.

Cell and atoms, written as POSCAR:
```
ZrTi3Pd6
1.0
8.8438 0.0000 0.0000
0.0000 4.0066 0.0000
-0.2478 0.0000 9.0858
Zr Ti Pd
2 6 12
direct
0.0620 0.2500 0.3771
0.9380 0.7500 0.6229
0.2492 0.2500 0.0131
0.3462 0.7500 0.8015
0.4471 0.2500 0.6027
0.5529 0.7500 0.3973
0.6538 0.2500 0.1985
0.7508 0.7500 0.9869
0.0590 0.7500 0.9064
0.1536 0.2500 0.7052
0.1605 0.7500 0.1968
0.2520 0.7500 0.5053
0.3679 0.2500 0.3025
0.4602 0.7500 0.0979
0.5398 0.2500 0.9021
0.6321 0.7500 0.6975
0.7480 0.2500 0.4947
0.8395 0.2500 0.8032
0.8464 0.7500 0.2948
0.9410 0.2500 0.0936
```

Output
- E above lowest polymorph: 0.0 meV/atom
- Crystal system: monoclinic
- DOS(E_F): 18.47 states/eV/cell
- Calculated total energy: -6.927 eV per atom
- Energy of formation: -57 kJ/mol of atoms

=====

No. 4
This record from Alexandria via LeMat-Bulk describes a relaxed Zr2TiPd2 crystal. The functional is PBE-GGA.

Cell and atoms, written as POSCAR:
```
Zr2TiPd2
1.0
-1.6954 3.2252 4.3937
1.6954 -3.2252 4.3937
1.6954 3.2252 -4.3937
Zr Ti Pd
2 1 2
direct
0.2138 0.2138 0.0000
0.7862 0.7862 0.0000
0.5000 0.0000 0.5000
0.2090 0.5000 0.7090
0.7910 0.5000 0.2910
```

Output
- E above lowest polymorph: 0.0 meV/atom
- Crystal system: orthorhombic
- DOS(E_F): 5.35 states/eV/cell
- Calculated total energy: -7.495 eV per atom
- Energy of formation: -41 kJ/mol of atoms

=====

No. 5
This record from Alexandria via LeMat-Bulk describes a relaxed ZrTi4Pd5 crystal. The functional is PBE-GGA.

Cell and atoms, written as POSCAR:
```
ZrTi4Pd5
1.0
3.0223 0.0000 0.0000
0.0000 3.0223 0.0000
0.0000 0.0000 17.9593
Zr Ti Pd
1 4 5
direct
0.0000 0.0000 0.0000
0.0000 0.0000 0.2069
0.0000 0.0000 0.4018
0.0000 0.0000 0.5982
0.0000 0.0000 0.7931
0.5000 0.5000 0.1143
0.5000 0.5000 0.3030
0.5000 0.5000 0.5000
0.5000 0.5000 0.6970
0.5000 0.5000 0.8857
```

Output
- Crystal system: tetragonal
- DOS(E_F): 12.25 states/eV/cell
- Calculated total energy: -7.121 eV per atom
- Energy of formation: -49 kJ/mol of atoms

=====

No. 6
This record from Alexandria via LeMat-Bulk describes a relaxed Zr2Ti2Pd crystal. The functional is PBE-GGA.

Cell and atoms, written as POSCAR:
```
Zr2Ti2Pd
1.0
6.6829 0.0000 0.0000
0.0000 6.6829 0.0000
0.0000 0.0000 4.3947
Zr Ti Pd
4 4 2
direct
0.1602 0.3398 0.0000
0.3398 0.8398 0.0000
0.6602 0.1602 0.0000
0.8398 0.6602 0.0000
0.1430 0.6430 0.5000
0.3570 0.1430 0.5000
0.6430 0.8570 0.5000
0.8570 0.3570 0.5000
0.0000 0.0000 0.5000
0.5000 0.5000 0.5000
```

Output
- E above lowest polymorph: 0.0 meV/atom
- Crystal system: tetragonal
- DOS(E_F): 11.22 states/eV/cell
- Calculated total energy: -7.731 eV per atom
- Energy of formation: -11 kJ/mol of atoms

=====

No. 7
This record from Alexandria via LeMat-Bulk describes a relaxed Zr3TiPd12 crystal. The functional is PBE-GGA.

Cell and atoms, written as POSCAR:
```
Zr3TiPd12
1.0
4.0094 0.0000 0.0000
0.0000 4.0094 0.0000
0.0000 0.0000 16.0326
Zr Ti Pd
3 1 12
direct
0.0000 0.0000 0.0000
0.0000 0.0000 0.2544
0.0000 0.0000 0.7456
0.0000 0.0000 0.5000
0.0000 0.5000 0.1263
0.0000 0.5000 0.3793
0.0000 0.5000 0.6207
0.0000 0.5000 0.8737
0.5000 0.0000 0.1263
0.5000 0.0000 0.3793
0.5000 0.0000 0.6207
0.5000 0.0000 0.8737
0.5000 0.5000 0.0000
0.5000 0.5000 0.2525
0.5000 0.5000 0.5000
0.5000 0.5000 0.7475
```

Output
- Crystal system: tetragonal
- DOS(E_F): 4.26 states/eV/cell
- Calculated total energy: -6.738 eV per atom
- Energy of formation: -72 kJ/mol of atoms

=====

No. 8
This record from Alexandria via LeMat-Bulk describes a relaxed ZrTi3Pd6 crystal. The functional is PBE-GGA.

Cell and atoms, written as POSCAR:
```
ZrTi3Pd6
1.0
10.3073 0.0000 0.0000
0.0000 2.9276 0.0000
-2.4263 0.0000 10.9440
Zr Ti Pd
2 6 12
direct
0.0425 0.2500 0.2154
0.9575 0.7500 0.7846
0.0956 0.2500 0.5806
0.3536 0.7500 0.9908
0.4054 0.2500 0.3894
0.5946 0.7500 0.6106
0.6464 0.2500 0.0092
0.9044 0.7500 0.4194
0.1251 0.2500 0.9841
0.1915 0.7500 0.4207
0.2213 0.7500 0.7654
0.2755 0.7500 0.1981
0.3761 0.2500 0.6139
0.4977 0.7500 0.8328
0.5023 0.2500 0.1672
0.6239 0.7500 0.3861
0.7245 0.2500 0.8019
0.7787 0.2500 0.2346
0.8085 0.2500 0.5793
0.8749 0.7500 0.0159
```

Output
- E above lowest polymorph: 109.2 meV/atom
- Crystal system: monoclinic
- DOS(E_F): 17.53 states/eV/cell
- Calculated total energy: -6.817 eV per atom
- Energy of formation: -46 kJ/mol of atoms

=====

No. 9
This record from Alexandria via LeMat-Bulk describes a relaxed Zr3Ti2Pd8 crystal. The functional is PBE-GGA.

Cell and atoms, written as POSCAR:
```
Zr3Ti2Pd8
1.0
2.6402 1.5243 9.7274
-2.6402 1.5243 9.7274
0.0000 -3.0487 9.7274
Zr Ti Pd
3 2 8
direct
0.0000 0.0000 0.0000
0.1907 0.1907 0.1907
0.8093 0.8093 0.8093
0.3652 0.3652 0.3652
0.6348 0.6348 0.6348
0.2265 0.7320 0.7320
0.2680 0.2680 0.7735
0.2680 0.7735 0.2680
0.2834 0.2834 0.2834
0.7166 0.7166 0.7166
0.7320 0.2265 0.7320
0.7320 0.7320 0.2265
0.7735 0.2680 0.2680
```

Output
- Crystal system: trigonal
- DOS(E_F): 13.13 states/eV/cell
- Calculated total energy: -6.754 eV per atom
- Energy of formation: -36 kJ/mol of atoms

=====

No. 10
This record from Alexandria via LeMat-Bulk describes a relaxed ZrTi2Pd2 crystal. The functional is PBE-GGA.

Cell and atoms, written as POSCAR:
```
ZrTi2Pd2
1.0
-2.1221 2.1221 5.2439
2.1221 -2.1221 5.2439
2.1221 2.1221 -5.2439
Zr Ti Pd
1 2 2
direct
0.0000 0.0000 0.0000
0.2500 0.7500 0.5000
0.7500 0.2500 0.5000
0.3803 0.3803 0.0000
0.6197 0.6197 0.0000
```

Output
- E above lowest polymorph: 151.7 meV/atom
- Crystal system: tetragonal
- DOS(E_F): 4.93 states/eV/cell
- Calculated total energy: -7.204 eV per atom
- Energy of formation: -25 kJ/mol of atoms

=====

No. 11
This record from Alexandria via LeMat-Bulk describes a relaxed Zr2TiPd2 crystal. The functional is PBE-GGA.

Cell and atoms, written as POSCAR:
```
Zr2TiPd2
1.0
7.5749 0.0000 0.0000
0.0000 7.5749 0.0000
0.0000 0.0000 3.3499
Zr Ti Pd
4 2 4
direct
0.1739 0.3261 0.0000
0.3261 0.8261 0.0000
0.6739 0.1739 0.0000
0.8261 0.6739 0.0000
0.0000 0.0000 0.5000
0.5000 0.5000 0.5000
0.1283 0.6283 0.5000
0.3717 0.1283 0.5000
0.6283 0.8717 0.5000
0.8717 0.3717 0.5000
```

Output
- E above lowest polymorph: 2.8 meV/atom
- Crystal system: tetragonal
- DOS(E_F): 12.74 states/eV/cell
- Calculated total energy: -7.493 eV per atom
- Energy of formation: -40 kJ/mol of atoms

=====

No. 12
This record from Alexandria via LeMat-Bulk describes a relaxed Zr2TiPd9 crystal. The functional is PBE-GGA.

Cell and atoms, written as POSCAR:
```
Zr2TiPd9
1.0
4.0033 0.0000 0.0000
0.0000 4.0033 0.0000
0.0000 0.0000 11.9839
Zr Ti Pd
2 1 9
direct
0.0000 0.0000 0.1707
0.0000 0.0000 0.8293
0.0000 0.0000 0.5000
0.0000 0.5000 0.0000
0.0000 0.5000 0.3389
0.0000 0.5000 0.6611
0.5000 0.0000 0.0000
0.5000 0.0000 0.3389
0.5000 0.0000 0.6611
0.5000 0.5000 0.1693
0.5000 0.5000 0.5000
0.5000 0.5000 0.8307
```

Output
- Crystal system: tetragonal
- DOS(E_F): 3.66 states/eV/cell
- Calculated total energy: -6.710 eV per atom
- Energy of formation: -71 kJ/mol of atoms